1.
DFT (meta-GGA SCAN) results for a crystal of KNiPt2 relaxed with PBEsol.

## Properties
The calculation puts the calculated volume at 65.4 Å³ per cell. The formation energy is 2.14 eV per formula unit. The total magnetization is 1.27 μB per cell. The density of states at the Fermi level comes out at 2.02 states/eV per cell. The raw total energy comes out at -40.688 eV/atom. For the energy above the most stable polymorph in this dataset, the calculation gives 1.240 eV per formula unit.

CIF file:
```
data_KNiPt2
_space_group_name_H-M_alt 'P 4/m m m'
_space_group_IT_number 123
_space_group_name_Hall '-P 4 2'
_cell_length_a 3.939
_cell_length_b 3.939
_cell_length_c 4.214
_cell_angle_alpha 90.00
_cell_angle_beta 90.00
_cell_angle_gamma 90.00
loop_
_atom_site_label
_atom_site_fract_x
_atom_site_fract_y
_atom_site_fract_z
K1 0.000 0.000 0.000
Ni1 0.500 0.500 0.000
Pt1 0.000 0.500 0.500
```



2.
DFT (meta-GGA SCAN) results for a crystal of ZrTaBr3 relaxed with PBEsol.

## Properties
The calculation puts the calculated volume at 141.3 Å³ per cell. The value obtained for the formation energy from raw total energies is 0.497 eV per atom. The total magnetization is 4.92 μB per cell. The density of states at the Fermi level comes out at 8.62 states/eV per cell. The raw total energy comes out at -30.636 eV/atom.

CIF file:
```
data_ZrTaBr3
_space_group_name_H-M_alt 'P m -3 m'
_space_group_IT_number 221
_space_group_name_Hall '-P 4 2 3'
_cell_length_a 5.208
_cell_length_b 5.208
_cell_length_c 5.208
_cell_angle_alpha 90.00
_cell_angle_beta 90.00
_cell_angle_gamma 90.00
loop_
_atom_site_label
_atom_site_fract_x
_atom_site_fract_y
_atom_site_fract_z
Zr1 0.000 0.000 0.000
Ta1 0.500 0.500 0.500
Br1 0.000 0.000 0.500
```



3.
DFT (meta-GGA SCAN) results for a crystal of ZnPtOF2 relaxed with PBEsol.

## Properties
The calculation puts the calculated volume at 70.3 Å³ per cell. The value obtained for the formation energy from raw total energies is -0.515 eV per atom. The total magnetization is 0.01 μB per cell. The density of states at the Fermi level comes out at 1.49 states/eV per cell. The raw total energy comes out at -19.919 eV/atom.

CIF file:
```
data_ZnPtOF2
_space_group_name_H-M_alt 'P 4/m m m'
_space_group_IT_number 123
_space_group_name_Hall '-P 4 2'
_cell_length_a 4.308
_cell_length_b 4.308
_cell_length_c 3.787
_cell_angle_alpha 90.00
_cell_angle_beta 90.00
_cell_angle_gamma 90.00
loop_
_atom_site_label
_atom_site_fract_x
_atom_site_fract_y
_atom_site_fract_z
Zn1 0.000 0.000 0.000
Pt1 0.500 0.500 0.500
O1 0.500 0.500 0.000
F1 0.000 0.500 0.500
```